Entry 1:
# Ho6PbS4 GGA-PBE optimized geometry
data_Ho6PbS4
_symmetry_space_group_name_H-M 'C m c m'
_symmetry_Int_Tables_number 63
_symmetry_space_group_name_Hall '-C 2c 2'
_cell_length_a 3.935
_cell_length_b 13.003
_cell_length_c 20.012
_cell_angle_alpha 90.00
_cell_angle_beta 90.00
_cell_angle_gamma 90.00
loop_
_atom_site_label
_atom_site_type_symbol
_atom_site_fract_x
_atom_site_fract_y
_atom_site_fract_z
_atom_site_occupancy
Ho1 Ho 0.000 0.000 0.000 1
Ho2 Ho 0.000 0.149 0.250 1
Ho3 Ho 0.000 0.272 0.583 1
Ho4 Ho 0.000 0.461 0.158 1
Pb1 Pb 0.000 0.166 0.750 1
S1 S 0.000 0.094 0.121 1
S2 S 0.000 0.362 0.039 1
# - final energy (eV/atom) = -5.8904
# - magnetization (μB/cell) = 0.00



Entry 2:
# HoPbS2 GGA-PBE optimized geometry
data_HoPbS2
_symmetry_space_group_name_H-M 'P 1'
_symmetry_Int_Tables_number 1
_cell_length_a 4.275
_cell_length_b 6.779
_cell_length_c 8.862
_cell_angle_alpha 89.94
_cell_angle_beta 89.88
_cell_angle_gamma 89.96
loop_
_symmetry_equiv_pos_as_xyz
'x,y,z'
loop_
_atom_site_label
_atom_site_type_symbol
_atom_site_fract_x
_atom_site_fract_y
_atom_site_fract_z
_atom_site_occupancy
Ho1 Ho 0.000 0.000 0.000 1
Ho2 Ho 0.499 0.500 0.223 1
Pb1 Pb 0.500 0.379 0.794 1
Pb2 Pb 0.997 0.879 0.428 1
S1 S 0.001 0.138 0.724 1
S2 S 0.497 0.637 0.498 1
S3 S 0.500 0.778 0.012 1
S4 S 0.999 0.278 0.210 1
# - final energy (eV/atom) = -5.1961
# - magnetization (μB/cell) = 0.00



Entry 3:
# HoPbS2 GGA-PBE optimized geometry
data_HoPbS2
_symmetry_space_group_name_H-M 'R -3 m'
_symmetry_Int_Tables_number 166
_symmetry_space_group_name_Hall '-R 3 2"'
_cell_length_a 3.9127
_cell_length_b 3.9127
_cell_length_c 26.0018
_cell_angle_alpha 90.00
_cell_angle_beta 90.00
_cell_angle_gamma 120.00
loop_
_atom_site_label
_atom_site_type_symbol
_atom_site_fract_x
_atom_site_fract_y
_atom_site_fract_z
_atom_site_occupancy
Ho1 Ho 0.0000 0.0000 0.0000 1
Pb1 Pb 0.0000 0.0000 0.5000 1
S1 S 0.0000 0.0000 0.3908 1
# - final energy (eV/atom) = -5.4467
# - magnetization (μB/cell) = 0.00